Record 1
PBE SrMg2HgGe, optimized geometry; calculated total energy = -2.378 eV/atom
1.0
4.494 0.000 0.000
0.000 4.494 0.000
0.000 0.000 12.408
Sr Mg Hg Ge
2 4 2 2
Direct
0.000 0.000 0.000
0.500 0.500 0.500
0.000 0.500 0.266
0.000 0.500 0.766
0.500 0.000 0.266
0.500 0.000 0.766
0.000 0.000 0.618
0.500 0.500 0.118
0.000 0.000 0.397
0.500 0.500 0.897

---

Record 2
PBE HgGe2Mo, optimized geometry; calculated total energy = -4.355 eV/atom
1.0
6.664 0.000 0.000
0.000 6.664 0.000
0.000 0.000 6.664
Hg Ge Mo
4 8 4
Direct
0.000 0.000 0.000
0.000 0.500 0.500
0.500 0.000 0.500
0.500 0.500 0.000
0.000 0.000 0.500
0.000 0.500 0.000
0.250 0.250 0.750
0.250 0.750 0.250
0.500 0.000 0.000
0.500 0.500 0.500
0.750 0.250 0.250
0.750 0.750 0.750
0.250 0.250 0.250
0.250 0.750 0.750
0.750 0.250 0.750
0.750 0.750 0.250

---

Record 3
PBE Hg2GeMo, optimized geometry; calculated total energy = -3.263 eV/atom
1.0
6.751 0.000 0.000
0.000 6.751 0.000
0.000 0.000 6.751
Hg Ge Mo
8 4 4
Direct
0.000 0.000 0.000
0.000 0.500 0.500
0.250 0.250 0.250
0.250 0.750 0.750
0.500 0.000 0.500
0.500 0.500 0.000
0.750 0.250 0.750
0.750 0.750 0.250
0.000 0.000 0.500
0.000 0.500 0.000
0.500 0.000 0.000
0.500 0.500 0.500
0.250 0.250 0.750
0.250 0.750 0.250
0.750 0.250 0.250
0.750 0.750 0.750

---

Record 4
PBE HgGeNO, optimized geometry; calculated total energy = -3.957 eV/atom; energy relative to the lowest polymorph listed for this composition = 3.402 eV per formula unit
1.0
4.036 0.000 0.000
0.000 4.036 0.000
0.000 0.000 7.730
Hg Ge N O
2 2 2 2
Direct
0.250 0.750 0.000
0.750 0.250 0.000
0.250 0.250 0.393
0.750 0.750 0.607
0.250 0.250 0.852
0.750 0.750 0.148
0.250 0.750 0.500
0.750 0.250 0.500

---

Record 5
PBE HgGeNO, optimized geometry; calculated total energy = -4.804 eV/atom; energy relative to the lowest polymorph listed for this composition = 0.013 eV per formula unit
1.0
3.057 0.000 0.000
0.000 7.454 0.000
0.000 0.000 5.308
Hg Ge N O
2 2 2 2
Direct
0.000 0.112 0.000
0.000 0.888 0.500
0.500 0.366 0.483
0.500 0.634 0.983
0.000 0.236 0.422
0.000 0.764 0.922
0.500 0.424 0.814
0.500 0.576 0.314

---

Record 6
PBE HgGeNO, optimized geometry; calculated total energy = -4.729 eV/atom; energy relative to the lowest polymorph listed for this composition = 0.317 eV per formula unit
1.0
3.064 0.000 0.000
0.000 7.146 0.000
0.000 0.000 5.390
Hg Ge N O
2 2 2 2
Direct
0.000 0.125 0.000
0.000 0.875 0.500
0.500 0.396 0.542
0.500 0.604 0.042
0.500 0.382 0.878
0.500 0.618 0.378
0.000 0.270 0.440
0.000 0.730 0.940

---

Record 7
PBE HgGeNO, optimized geometry; calculated total energy = -4.538 eV/atom; energy relative to the lowest polymorph listed for this composition = 1.080 eV per formula unit
1.0
5.642 0.000 0.000
0.000 7.165 0.000
0.000 0.000 6.398
Hg Ge N O
4 4 4 4
Direct
0.219 0.127 0.000
0.281 0.127 0.500
0.719 0.873 0.000
0.781 0.873 0.500
0.094 0.603 0.822
0.406 0.603 0.322
0.594 0.397 0.822
0.906 0.397 0.322
0.003 0.151 0.271
0.497 0.151 0.771
0.503 0.849 0.271
0.997 0.849 0.771
0.123 0.560 0.169
0.377 0.560 0.669
0.623 0.440 0.169
0.877 0.440 0.669

---

Record 8
PBE HgGeNO, optimized geometry; calculated total energy = -4.808 eV/atom; energy relative to the lowest polymorph listed for this composition = 0.000 eV per formula unit
1.0
5.754 0.000 0.000
0.000 7.963 0.000
0.000 0.000 5.166
Hg Ge N O
4 4 4 4
Direct
0.101 0.090 0.000
0.399 0.090 0.500
0.601 0.910 0.000
0.899 0.910 0.500
0.094 0.591 0.996
0.406 0.591 0.496
0.594 0.409 0.996
0.906 0.409 0.496
0.109 0.569 0.637
0.391 0.569 0.137
0.609 0.431 0.637
0.891 0.431 0.137
0.013 0.211 0.583
0.487 0.211 0.083
0.513 0.789 0.583
0.987 0.789 0.083

---

What is the formula in the seventh record?
HgGeNO

---

Which of these has the highest calculated total energy?
SrMg2HgGe